(1)
The following is a PBE calculation of crystalline SrTl2HgF6 at its relaxed geometry, from Alexandria.

Summary:
The calculated total energy is -4.094 eV/atom.

Cell lengths 6.478, 6.618, 9.236 Å; angles 90.00, 90.42, 90.00 degrees
Element x y z (fractional)
Sr: 0.500 0.000 0.000
Sr: 0.000 0.500 0.500
Tl: 0.011 0.961 0.250
Tl: 0.511 0.539 0.750
Tl: 0.989 0.039 0.750
Tl: 0.489 0.461 0.250
Hg: 0.500 0.000 0.500
Hg: 0.000 0.500 0.000
F: 0.292 0.703 0.049
F: 0.792 0.797 0.549
F: 0.708 0.297 0.951
F: 0.208 0.203 0.451
F: 0.299 0.711 0.451
F: 0.799 0.789 0.951
F: 0.701 0.289 0.549
F: 0.201 0.211 0.049
F: 0.906 0.533 0.246
F: 0.406 0.967 0.746
F: 0.094 0.467 0.754
F: 0.594 0.033 0.254

(2)
The following is a PBE calculation of crystalline SrBeTc3 at its relaxed geometry, from Alexandria.

Summary:
The energy of formation from the pure elements is 0.944 eV per atom. The energy above the most stable polymorph in this dataset is 0.00 eV/f.u. The calculated total energy is -6.357 eV/atom.

Cell lengths 4.412, 4.412, 4.412 Å; angles 90.00, 90.00, 90.00 degrees
Element x y z (fractional)
Sr: 0.500 0.500 0.500
Tc: 0.000 0.500 0.000
Tc: 0.000 0.000 0.500
Tc: 0.500 0.000 0.000
Be: 0.000 0.000 0.000

- Look up the calculated total energy of the first one.
  -4.094 eV/atom

What did the first record say?
The following is a PBE calculation of crystalline SrTl2HgF6 at its relaxed geometry, from Alexandria.

Summary:
The calculated total energy is -4.094 eV/atom.

Cell lengths 6.478, 6.618, 9.236 Å; angles 90.00, 90.42, 90.00 degrees
Element x y z (fractional)
Sr: 0.500 0.000 0.000
Sr: 0.000 0.500 0.500
Tl: 0.011 0.961 0.250
Tl: 0.511 0.539 0.750
Tl: 0.989 0.039 0.750
Tl: 0.489 0.461 0.250
Hg: 0.500 0.000 0.500
Hg: 0.000 0.500 0.000
F: 0.292 0.703 0.049
F: 0.792 0.797 0.549
F: 0.708 0.297 0.951
F: 0.208 0.203 0.451
F: 0.299 0.711 0.451
F: 0.799 0.789 0.951
F: 0.701 0.289 0.549
F: 0.201 0.211 0.049
F: 0.906 0.533 0.246
F: 0.406 0.967 0.746
F: 0.094 0.467 0.754
F: 0.594 0.033 0.254